Computed, not measured: a relaxed CoBiIO6 crystal at the GGA+U level of DFT.

## Properties
N(E_F) (states/eV/f.u.): 3.94
E_tot (eV/atom): -5.164
Total magnetization (Bohr magnetons per cell): 0.00
Crystal system: trigonal

Cell lengths 5.1836, 5.1836, 5.0810 Å; angles 90.00, 90.00, 120.00 degrees
Closest atoms and distances in Å follow each position.
Space group P312 (No. 149)
Unique sites:
Co: 0.0000 0.0000 0.0000 (multiplicity 1)  6 O 1.94
Bi: 0.6667 0.3333 0.5000 (multiplicity 1)  6 O 2.39
I: 0.3333 0.6667 0.0000 (multiplicity 1)  6 O 2.02
O: 0.0286 0.3218 0.2155 (multiplicity 6)  1 Co 1.94, 1 I 2.02